# Ce3Sb2Se

A geometry-optimized Ce3Sb2Se structure (PBE, Alexandria).

abc: 7.6469 7.6391 7.6391
angles: 120.06 99.57 99.57
With the nearest neighbours (Å) after each atom.
Fractional coordinates of all 12 atoms:
Se: 0.2500 0.5864 0.4136  6 Ce 3.05-3.09
Se: 0.7500 0.4136 0.5864  6 Ce 3.05-3.09
Ce: 0.5000 0.0000 0.5000  2 Se 3.09, 4 Sb 3.12-3.13
Ce: 0.4967 0.6561 0.8147  2 Se 3.05-3.06, 4 Sb 3.13-3.19
Ce: 0.5033 0.3439 0.1853  2 Se 3.05-3.06, 4 Sb 3.13-3.19
Ce: 0.9967 0.8147 0.6561  2 Se 3.05-3.06, 4 Sb 3.13-3.19
Ce: 0.0033 0.1853 0.3439  2 Se 3.05-3.06, 4 Sb 3.13-3.19
Ce: 0.0000 0.5000 0.0000  2 Se 3.09, 4 Sb 3.12-3.13
Sb: 0.2500 0.9175 0.0825  6 Ce 3.13-3.19
Sb: 0.7500 0.0825 0.9175  6 Ce 3.13-3.19
Sb: 0.2500 0.2455 0.7545  6 Ce 3.12-3.17
Sb: 0.7500 0.7545 0.2455  6 Ce 3.12-3.17

The calculated volume comes out at 364.22 Å³/cell. Its space group is C2/c, No. 15. The value obtained for the total energy is -6.211 eV per atom. Its total magnetic moment is 0.499 μB/atom. As for the uncorrected formation energy: -747 kJ/mol of formula units.